No. 1
Density functional theory data (PBE) for LiDyRu after structural relaxation.

Output
Its space-group type is I4mm (107). The value obtained for the energy above the most stable polymorph in this dataset is 6 meV/atom. The calculation puts the formation energy at -0.0535 eV/atom. The magnetic moment comes out at 0.000 μB/f.u.

Cell lengths 3.470, 3.470, 5.094 Å; angles 109.92, 109.92, 90.00 degrees
Fractional positions:
Dy1 0.941 0.941 0.882
Ru1 0.271 0.271 0.543
Li1 0.638 0.638 0.275

***

No. 2
Density functional theory data (PBE) for LiDy5Ru4 after structural relaxation.

Output
Its space-group type is P4/mmm (123). The calculation puts the formation energy at -0.3096 eV/atom. The magnetic moment comes out at 0.000 μB/f.u.

Cell lengths 3.410, 3.410, 18.146 Å; angles 90.00, 90.00, 90.00 degrees
Fractional positions:
Dy1 0.500 0.500 0.500
Dy2 0.500 0.500 0.871
Dy3 0.500 0.500 0.686
Dy4 0.500 0.500 0.314
Dy5 0.500 0.500 0.129
Li1 0.000 0.000 0.000
Ru1 0.000 0.000 0.786
Ru2 0.000 0.000 0.594
Ru3 0.000 0.000 0.214
Ru4 0.000 0.000 0.406

***

No. 3
Density functional theory data (PBE) for LiDy2Ru after structural relaxation.

Output
Its space-group type is P4/mmm (123). The value obtained for the energy above the most stable polymorph in this dataset is 42 meV/atom. The calculation puts the formation energy at -0.2408 eV/atom. The magnetic moment comes out at 0.000 μB/f.u.

Cell lengths 3.412, 3.412, 8.101 Å; angles 90.00, 90.00, 90.00 degrees
Fractional positions:
Li1 0.500 0.500 0.500
Ru1 0.500 0.500 0.000
Dy1 0.000 0.000 0.796
Dy2 0.000 0.000 0.204

***

No. 4
Density functional theory data (PBE) for LiSmDyRu after structural relaxation.

Output
Its space-group type is F-43m (216). The calculation puts the formation energy at -0.2348 eV/atom. The magnetic moment comes out at 0.000 μB/f.u.

Cell lengths 4.959, 4.959, 4.959 Å; angles 60.00, 60.00, 60.00 degrees
Fractional positions:
Ru1 0.750 0.750 0.750
Li1 0.250 0.250 0.250
Sm1 0.000 0.000 0.000
Dy1 0.500 0.500 0.500

***

No. 5
Density functional theory data (PBE) for LiDyTcRu after structural relaxation.

Output
Its space-group type is F-43m (216). The calculation puts the formation energy at 0.1184 eV/atom. The magnetic moment comes out at 0.000 μB/f.u.

Cell lengths 4.535, 4.535, 4.535 Å; angles 60.00, 60.00, 60.00 degrees
Fractional positions:
Li1 0.000 0.000 0.000
Dy1 0.750 0.750 0.750
Tc1 0.500 0.500 0.500
Ru1 0.250 0.250 0.250

***

No. 6
Density functional theory data (PBE) for LiDyThRu after structural relaxation.

Output
Its space-group type is F-43m (216). The calculation puts the formation energy at -0.2205 eV/atom. The magnetic moment comes out at 0.000 μB/f.u.

Cell lengths 5.007, 5.007, 5.007 Å; angles 60.00, 60.00, 60.00 degrees
Fractional positions:
Th1 0.750 0.750 0.750
Ru1 0.500 0.500 0.500
Li1 0.000 0.000 0.000
Dy1 0.250 0.250 0.250